Hf2BiH at its PBEsol-relaxed geometry, computed with meta-GGA SCAN. Values from VASP.

Structure (Quantum ESPRESSO input):
```
&SYSTEM
  ibrav = 0, nat = 8, ntyp = 3
/
ATOMIC_SPECIES
Hf 178.49 Hf.upf
Bi 208.98 Bi.upf
H 1.01 H.upf
CELL_PARAMETERS angstrom
-2.654 1.509 -4.773
2.715 -5.661 0.064
-3.436 -4.478 0.495
ATOMIC_POSITIONS angstrom
Hf -1.965 -7.599 -1.309
Hf -0.247 -5.359 -1.556
Bi -3.210 -5.058 -3.177
H -0.165 -3.573 -1.038
Hf -2.932 -1.775 -3.975
Bi 0.000 0.000 0.000
Hf -1.605 -2.529 -1.588
H -3.045 -1.485 -2.139
```

Calculated values
uncorrected energy: -51.774 eV/atom